No. 1
{
  "formula": "IrRu2Pt",
  "functional": "SCAN",
  "state": "single point on PBEsol structure",
  "mass_density_g_cm3": 17.61,
  "relative_energy_ev_per_atom": 0.032,
  "final_energy_ev_per_cell": -210.89,
  "volume_a3_per_atom": 13.896,
  "n_ef_per_ev_cell": 4.463,
  "magnetic_moment_mub_per_fu": 0.030,
  "cell": [[2.6906, 0.0000, 0.0000], [1.3453, 2.3301, 0.0000], [1.3453, 0.7767, 8.8660]],
  "species": ["Ru", "Ru", "Ir", "Pt"],
  "fractional_positions": [[0.2482, 0.2482, 0.2553], [0.7518, 0.7518, 0.7447], [0.5000, 0.5000, 0.5000], [0.0000, 0.0000, 0.0000]]
}

No. 2
{
  "formula": "IrRu2Pt",
  "functional": "SCAN",
  "state": "single point on PBEsol structure",
  "mass_density_g_cm3": 17.63,
  "relative_energy_ev_per_atom": 0.020,
  "final_energy_ev_per_cell": -210.93,
  "volume_a3_per_atom": 13.879,
  "n_ef_per_ev_cell": 4.078,
  "magnetic_moment_mub_per_fu": 0.002,
  "cell": [[2.6877, 0.0000, 0.0000], [0.0000, 4.6756, 0.0005], [-1.3438, -0.7636, 4.4177]],
  "species": ["Ru", "Ru", "Ir", "Pt"],
  "fractional_positions": [[0.9960, 0.9919, 0.9920], [0.2508, 0.7515, 0.5016], [0.5039, 0.5090, 0.0078], [0.7493, 0.2476, 0.4986]]
}

No. 3
{
  "formula": "IrRu2Pt",
  "functional": "SCAN",
  "state": "single point on PBEsol structure",
  "mass_density_g_cm3": 17.66,
  "relative_energy_ev_per_atom": 0.023,
  "final_energy_ev_per_cell": -210.92,
  "volume_a3_per_atom": 13.859,
  "n_ef_per_ev_cell": 4.022,
  "magnetic_moment_mub_per_fu": 0.000,
  "cell": [[2.6926, 0.0000, 0.0000], [0.0000, 4.6802, -0.0003], [0.0000, -1.5971, 4.3992]],
  "species": ["Ru", "Ru", "Ir", "Pt"],
  "fractional_positions": [[0.0000, 0.0000, 0.5000], [0.0000, 0.5000, 0.0000], [0.5000, 0.5000, 0.5000], [0.5000, 0.0000, 0.0000]]
}

No. 4
{
  "formula": "IrRu2Pt",
  "functional": "SCAN",
  "state": "single point on PBEsol structure",
  "mass_density_g_cm3": 17.62,
  "relative_energy_ev_per_atom": 0.034,
  "final_energy_ev_per_cell": -210.88,
  "volume_a3_per_atom": 13.885,
  "n_ef_per_ev_cell": 4.062,
  "magnetic_moment_mub_per_fu": 0.000,
  "cell": [[-1.1049, -2.1496, -1.1797], [1.8931, -1.5702, 1.0880], [-4.4494, -1.0947, 6.1617]],
  "species": ["Ru", "Ru", "Ir", "Pt"],
  "fractional_positions": [[0.0000, 0.0000, 0.0094], [0.5000, 0.5000, 0.2471], [0.0000, 0.0000, 0.4897], [0.5000, 0.5000, 0.7538]]
}

No. 5
{
  "formula": "IrRu2Pt",
  "functional": "SCAN",
  "state": "single point on PBEsol structure",
  "mass_density_g_cm3": 17.62,
  "relative_energy_ev_per_atom": 0.025,
  "final_energy_ev_per_cell": -210.91,
  "volume_a3_per_atom": 13.884,
  "n_ef_per_ev_cell": 3.791,
  "magnetic_moment_mub_per_fu": 0.001,
  "cell": [[-0.2408, 1.5326, 2.2005], [0.4235, -3.0868, 2.1962], [5.3558, 0.7702, 0.0496]],
  "species": ["Ru", "Ru", "Ir", "Pt"],
  "fractional_positions": [[0.0000, 0.0000, 0.0090], [0.5000, 0.5000, 0.2468], [0.0000, 0.0000, 0.4915], [0.5000, 0.5000, 0.7527]]
}

No. 6
{
  "formula": "SbIr2Pt",
  "functional": "SCAN",
  "state": "single point on PBEsol structure",
  "mass_density_g_cm3": 18.12,
  "final_energy_ev_per_cell": -248.44,
  "volume_a3_per_atom": 16.068,
  "n_ef_per_ev_cell": 3.551,
  "magnetic_moment_mub_per_fu": 0.000,
  "raw_formation_energy_mev_per_atom": 303.4,
  "cell": [[2.9004, 0.0000, 0.0311], [0.0000, 3.8966, 0.0000], [-0.0589, 0.0000, 5.6863]],
  "species": ["Ir", "Ir", "Pt", "Sb"],
  "fractional_positions": [[0.0004, 0.0000, 0.0197], [0.5002, 0.5000, 0.2415], [0.9999, 0.0000, 0.4840], [0.4995, 0.5000, 0.7548]]
}

No. 7
{
  "formula": "SbIrPt",
  "functional": "SCAN",
  "state": "single point on PBEsol structure",
  "mass_density_g_cm3": 16.23,
  "relative_energy_ev_per_atom": 0.000,
  "final_energy_ev_per_cell": -178.09,
  "volume_a3_per_atom": 17.360,
  "n_ef_per_ev_cell": 1.655,
  "magnetic_moment_mub_per_fu": 0.000,
  "raw_formation_energy_mev_per_atom": 152.7,
  "cell": [[3.3500, 0.0000, 0.0000], [0.0000, 4.2369, 0.0000], [0.0000, -2.1185, 3.6693]],
  "species": ["Sb", "Ir", "Pt"],
  "fractional_positions": [[0.3026, 0.6667, 0.3333], [0.0746, 0.0000, 0.0000], [0.6228, 0.3333, 0.6667]]
}

No. 8
{
  "formula": "SbIr2Pt",
  "functional": "SCAN",
  "state": "single point on PBEsol structure",
  "mass_density_g_cm3": 17.96,
  "final_energy_ev_per_cell": -247.83,
  "volume_a3_per_atom": 16.209,
  "n_ef_per_ev_cell": 3.947,
  "magnetic_moment_mub_per_fu": 0.001,
  "raw_formation_energy_mev_per_atom": 456.7,
  "cell": [[-1.1780, 0.8655, -2.5242], [-1.1584, -1.9647, -1.8184], [-8.5804, 0.5675, 2.5134]],
  "species": ["Ir", "Ir", "Pt", "Sb"],
  "fractional_positions": [[0.0033, 0.0033, 0.9901], [0.7482, 0.7482, 0.7553], [0.4974, 0.4974, 0.5077], [0.2510, 0.2510, 0.2469]]
}

No. 9
{
  "formula": "SbIrPt",
  "functional": "SCAN",
  "state": "single point on PBEsol structure",
  "mass_density_g_cm3": 14.71,
  "relative_energy_ev_per_atom": 0.139,
  "final_energy_ev_per_cell": -177.68,
  "volume_a3_per_atom": 19.152,
  "n_ef_per_ev_cell": 2.896,
  "magnetic_moment_mub_per_fu": 0.000,
  "raw_formation_energy_mev_per_atom": 291.7,
  "cell": [[4.3313, 0.0000, 0.0000], [2.1657, 3.7510, 0.0000], [2.1657, 1.2503, 3.5365]],
  "species": ["Sb", "Ir", "Pt"],
  "fractional_positions": [[0.0000, 0.0000, 0.0000], [0.5000, 0.5000, 0.5000], [0.2500, 0.2500, 0.2500]]
}

No. 10
{
  "formula": "SbIr2Pt",
  "functional": "SCAN",
  "state": "single point on PBEsol structure",
  "mass_density_g_cm3": 17.77,
  "final_energy_ev_per_cell": -247.21,
  "volume_a3_per_atom": 16.380,
  "n_ef_per_ev_cell": 3.062,
  "magnetic_moment_mub_per_fu": 0.000,
  "raw_formation_energy_mev_per_atom": 609.8,
  "cell": [[-0.6415, 0.8398, 2.6098], [-1.6706, -1.8954, -1.3196], [5.1645, -7.0050, 3.5235]],
  "species": ["Ir", "Ir", "Pt", "Sb"],
  "fractional_positions": [[0.0000, 0.0000, 0.7424], [0.0000, 0.0000, 0.2576], [0.5000, 0.0000, 0.5000], [0.5000, 0.0000, 0.0000]]
}

No. 11
{
  "formula": "Sb3IrPt",
  "functional": "SCAN",
  "state": "single point on PBEsol structure",
  "mass_density_g_cm3": 9.73,
  "final_energy_ev_per_cell": -247.69,
  "volume_a3_per_atom": 25.700,
  "n_ef_per_ev_cell": 3.175,
  "magnetic_moment_mub_per_fu": 0.000,
  "raw_formation_energy_mev_per_atom": 1076.0,
  "cell": [[-2.1794, 1.8055, -4.1779], [-0.1307, -4.6551, -1.9435], [-4.5494, -0.7312, 2.0573]],
  "species": ["Sb", "Sb", "Sb", "Ir", "Pt"],
  "fractional_positions": [[0.0000, 0.5000, 0.0000], [0.0000, 0.0000, 0.5000], [0.5000, 0.0000, 0.0000], [0.5000, 0.5000, 0.5000], [0.0000, 0.0000, 0.0000]]
}

No. 12
{
  "formula": "SbIr2Pt",
  "functional": "SCAN",
  "state": "single point on PBEsol structure",
  "mass_density_g_cm3": 18.28,
  "final_energy_ev_per_cell": -248.00,
  "volume_a3_per_atom": 15.929,
  "n_ef_per_ev_cell": 4.509,
  "magnetic_moment_mub_per_fu": 0.000,
  "raw_formation_energy_mev_per_atom": 412.3,
  "cell": [[2.9652, 0.0000, 0.0000], [0.0000, 2.9652, 0.0000], [0.0000, 0.0000, 7.2467]],
  "species": ["Ir", "Ir", "Pt", "Sb"],
  "fractional_positions": [[0.0000, 0.0000, 0.7510], [0.0000, 0.0000, 0.2490], [0.5000, 0.5000, 0.0000], [0.5000, 0.5000, 0.5000]]
}

No. 13
{
  "formula": "SbIr2Pt",
  "functional": "SCAN",
  "state": "single point on PBEsol structure",
  "mass_density_g_cm3": 18.25,
  "final_energy_ev_per_cell": -248.66,
  "volume_a3_per_atom": 15.953,
  "n_ef_per_ev_cell": 3.137,
  "magnetic_moment_mub_per_fu": 0.000,
  "raw_formation_energy_mev_per_atom": 248.5,
  "cell": [[3.0379, 0.0000, 0.0000], [-1.5189, 4.4065, 0.0253], [0.0000, -1.0664, 4.7606]],
  "species": ["Ir", "Ir", "Pt", "Sb"],
  "fractional_positions": [[0.7471, 0.4943, 0.7595], [0.2529, 0.5057, 0.2405], [0.5000, 0.0000, 0.0000], [0.0000, 0.0000, 0.5000]]
}

No. 14
{
  "formula": "ScIrPt2",
  "functional": "SCAN",
  "state": "single point on PBEsol structure",
  "mass_density_g_cm3": 16.81,
  "final_energy_ev_per_cell": -228.44,
  "volume_a3_per_atom": 15.492,
  "n_ef_per_ev_cell": 3.555,
  "magnetic_moment_mub_per_fu": 0.000,
  "cell": [[2.8244, 0.0000, 0.0000], [0.0000, 3.9166, 0.0000], [0.0000, 0.0000, 5.6019]],
  "species": ["Ir", "Pt", "Pt", "Sc"],
  "fractional_positions": [[0.5000, 0.5000, 0.7640], [0.0000, 0.0000, 0.9909], [0.5000, 0.5000, 0.2452], [0.0000, 0.0000, 0.5000]]
}

No. 15
{
  "formula": "ScIrPt2",
  "functional": "SCAN",
  "state": "single point on PBEsol structure",
  "mass_density_g_cm3": 16.46,
  "final_energy_ev_per_cell": -227.78,
  "volume_a3_per_atom": 15.819,
  "n_ef_per_ev_cell": 3.299,
  "magnetic_moment_mub_per_fu": 0.000,
  "cell": [[4.4728, 0.0000, 0.0000], [2.2364, 3.8736, 0.0000], [2.2364, 1.2912, 3.6521]],
  "species": ["Ir", "Pt", "Pt", "Sc"],
  "fractional_positions": [[0.0000, 0.0000, 0.0000], [0.2500, 0.2500, 0.2500], [0.7500, 0.7500, 0.7500], [0.5000, 0.5000, 0.5000]]
}

No. 16
{
  "formula": "ScIr2Pt",
  "functional": "SCAN",
  "state": "single point on PBEsol structure",
  "mass_density_g_cm3": 17.12,
  "final_energy_ev_per_cell": -229.09,
  "volume_a3_per_atom": 15.143,
  "n_ef_per_ev_cell": 5.204,
  "magnetic_moment_mub_per_fu": 0.000,
  "cell": [[3.9228, 0.0000, 0.0000], [0.0000, 3.9228, 0.0000], [-1.9614, -1.9614, 3.9362]],
  "species": ["Ir", "Ir", "Pt", "Sc"],
  "fractional_positions": [[0.7500, 0.2500, 0.5000], [0.2500, 0.7500, 0.5000], [0.5000, 0.5000, 0.0000], [0.0000, 0.0000, 0.0000]]
}

No. 17
{
  "formula": "ScIrPt2",
  "functional": "SCAN",
  "state": "single point on PBEsol structure",
  "mass_density_g_cm3": 16.81,
  "final_energy_ev_per_cell": -228.35,
  "volume_a3_per_atom": 15.492,
  "n_ef_per_ev_cell": 3.440,
  "magnetic_moment_mub_per_fu": 0.000,
  "cell": [[-1.4939, 2.0095, 1.4241], [-3.9723, -1.4764, -2.0836], [0.7875, -3.6670, 3.0871]],
  "species": ["Ir", "Pt", "Pt", "Sc"],
  "fractional_positions": [[0.5000, 0.0000, 0.0000], [0.2463, 0.2410, 0.4926], [0.7537, 0.7590, 0.5074], [0.0000, 0.5000, 0.0000]]
}

No. 18
{
  "formula": "ScIr2Pt",
  "functional": "SCAN",
  "state": "single point on PBEsol structure",
  "mass_density_g_cm3": 16.60,
  "final_energy_ev_per_cell": -228.62,
  "volume_a3_per_atom": 15.621,
  "n_ef_per_ev_cell": 2.345,
  "magnetic_moment_mub_per_fu": 0.000,
  "cell": [[-1.7142, -1.1518, -1.8734], [-1.1546, -3.2049, 3.0270], [-3.0311, 3.2765, 2.3128]],
  "species": ["Ir", "Ir", "Pt", "Sc"],
  "fractional_positions": [[0.6356, 0.0000, 0.7634], [0.3644, 0.0000, 0.2366], [0.5000, 0.5000, 0.0000], [0.0000, 0.5000, 0.5000]]
}

No. 19
{
  "formula": "Sc4IrPt",
  "functional": "SCAN",
  "state": "single point on PBEsol structure",
  "mass_density_g_cm3": 9.01,
  "final_energy_ev_per_cell": -198.32,
  "volume_a3_per_atom": 17.416,
  "n_ef_per_ev_cell": 4.481,
  "magnetic_moment_mub_per_fu": 0.001,
  "cell": [[-1.6261, 2.4073, 4.4173], [1.1051, -2.1095, 4.7203], [3.5143, 2.3385, 3.1832]],
  "species": ["Ir", "Pt", "Sc", "Sc", "Sc", "Sc"],
  "fractional_positions": [[0.7500, 0.7500, 0.7500], [0.0000, 0.0000, 0.0000], [0.3754, 0.3754, 0.3754], [0.3754, 0.3754, 0.8738], [0.8738, 0.3754, 0.3754], [0.3754, 0.8738, 0.3754]]
}

No. 20
{
  "formula": "ScIr2Pt",
  "functional": "SCAN",
  "state": "single point on PBEsol structure",
  "mass_density_g_cm3": 17.02,
  "final_energy_ev_per_cell": -229.04,
  "volume_a3_per_atom": 15.230,
  "n_ef_per_ev_cell": 2.701,
  "magnetic_moment_mub_per_fu": 0.000,
  "cell": [[-0.3794, -2.7861, -0.3225], [-0.4242, -0.4884, 4.7190], [-4.1952, 2.1259, -1.0117]],
  "species": ["Ir", "Ir", "Pt", "Sc"],
  "fractional_positions": [[0.9958, 0.9721, 0.9916], [0.2533, 0.7730, 0.5066], [0.5019, 0.4965, 0.0038], [0.7490, 0.2584, 0.4980]]
}